## SmThNpN3 (GGA-PBE)

Data for a geometry-optimized SmThNpN3 structure.

Summary:
Space-group type   P2_1/m (11)
Formation energy without anion corrections   -24.62 kcal/mol of atoms
Calculated total energy   -112.93 eV per cell

Cell: 7.196 3.659 8.823 Å, 90.00 93.76 90.00°
Fractional coordinates of all 12 atoms:
1 Sm 0.145 0.250 0.126
2 Sm 0.855 0.750 0.874
3 Th 0.372 0.750 0.840
4 Th 0.628 0.250 0.160
5 Np 0.049 0.250 0.588
6 Np 0.951 0.750 0.412
7 N 0.112 0.250 0.849
8 N 0.218 0.750 0.591
9 N 0.389 0.750 0.114
10 N 0.611 0.250 0.886
11 N 0.782 0.250 0.409
12 N 0.888 0.750 0.151

---

## ScTiTeI2 (GGA-PBE)

Data for a geometry-optimized ScTiTeI2 structure.

Summary:
Space-group type   P4/mmm (123)
E above lowest polymorph   0.0000 eV/atom
Formation energy without anion corrections   -1.89 kcal/mol of atoms
Calculated total energy   -20.88 eV per cell

Cell: 5.489 5.489 5.537 Å, 90.00 90.00 90.00°
Fractional coordinates of all 5 atoms:
1 Sc 0.000 0.000 0.000
2 Ti 0.500 0.500 0.500
3 Te 0.500 0.500 0.000
4 I 0.000 0.500 0.500
5 I 0.500 0.000 0.500

---

## SiSb2Ru (GGA-PBE)

Data for a geometry-optimized SiSb2Ru structure.

Summary:
Space-group type   I-4m2 (119)
Formation energy without anion corrections   12.23 kcal/mol of atoms
Calculated total energy   -20.82 eV per cell

Cell: 5.051 5.051 5.051 Å, 127.84 127.84 76.88°
Fractional coordinates of all 4 atoms:
1 Si 0.000 0.000 0.000
2 Sb 0.500 0.500 0.000
3 Sb 0.750 0.250 0.500
4 Ru 0.250 0.750 0.500